# 1
DFT (GGA-PBE) results for crystalline Hf2CdBi2 at its relaxed geometry.

Summary:
ΔH_f (0 K) = -22 meV per atom
Total moment = 0.0 μB per formula unit

Cell lengths 8.015, 8.015, 3.941 Å; angles 90.00, 90.00, 90.00 degrees
Atoms (fractional coordinates):
Cd (0.000, 0.000, 0.000)
Cd (0.500, 0.500, 0.000)
Hf (0.137, 0.363, 0.000)
Hf (0.863, 0.637, 0.000)
Hf (0.637, 0.137, 0.000)
Hf (0.363, 0.863, 0.000)
Bi (0.841, 0.341, 0.500)
Bi (0.159, 0.659, 0.500)
Bi (0.659, 0.841, 0.500)
Bi (0.341, 0.159, 0.500)

# 2
DFT (GGA-PBE) results for crystalline Rb2Tl5Cd at its relaxed geometry.

Summary:
ΔH_f (0 K) = 66 meV per atom
Total moment = 0.0 μB per formula unit

Cell lengths 5.804, 7.517, 7.517 Å; angles 90.00, 90.00, 90.00 degrees
Atoms (fractional coordinates):
Rb (0.500, 0.500, 0.000)
Rb (0.500, 0.000, 0.500)
Tl (0.500, 0.000, 0.000)
Tl (0.000, 0.709, 0.291)
Tl (0.000, 0.709, 0.709)
Tl (0.000, 0.291, 0.709)
Tl (0.000, 0.291, 0.291)
Cd (0.000, 0.000, 0.000)

| no. | E above lowest polymorph (meV/atom) | DOS at the Fermi energy (states/eV per cell) |
| --- | --- | --- |
| 1 | 0 | 8.10 |
| 2 | 68 | 5.97 |